No. 1
Pu2Pt7 (PBE-GGA, relaxed); crystal system = trigonal; DFT total energy = -8.526 eV per atom; DOS at the Fermi energy = 3.013 states/eV per atom; DFT formation energy = -643 meV per atom
1.0
5.408 0.000 0.000
2.704 4.683 0.000
2.704 1.561 13.320
Pt Pu
14 4
direct
0.277 0.277 0.168
0.614 0.108 0.664
0.386 0.386 0.336
0.723 0.723 0.832
0.892 0.386 0.336
0.614 0.614 0.664
0.500 0.000 0.000
0.389 0.389 0.833
0.000 0.500 0.000
0.500 0.500 0.500
0.500 0.500 0.000
0.108 0.614 0.664
0.386 0.892 0.336
0.611 0.611 0.167
0.149 0.149 0.552
0.051 0.051 0.847
0.949 0.949 0.153
0.851 0.851 0.448

---

No. 2
Mg2GePb2 (PBE-GGA, relaxed); crystal system = tetragonal; DFT total energy = -2.996 eV per atom; DOS at the Fermi energy = 0.338 states/eV per atom; excess energy over the best structure of this formula in the dataset = 0.0000 eV/atom; DFT formation energy = 49 meV per atom
1.0
-1.167 2.051 6.912
2.188 -6.571 2.320
4.520 1.606 0.286
Ge Pb Mg
2 4 4
direct
0.000 0.000 0.000
0.500 0.500 0.000
0.837 0.337 0.500
0.337 0.163 0.500
0.663 0.837 0.500
0.163 0.663 0.500
0.149 0.351 0.000
0.649 0.149 0.000
0.851 0.649 0.000
0.351 0.851 0.000

---

No. 3
BI2O2 (PBE-GGA, relaxed); crystal system = tetragonal; energy relative to the elements, uncorrected = 1.44 eV per atom; DFT total energy = -2.495 eV per atom; DOS at the Fermi energy = 0.544 states/eV per atom; excess energy over the best structure of this formula in the dataset = 1.0931 eV/atom
1.0
-3.295 -2.911 2.074
1.939 -3.826 -2.289
2.412 -0.582 3.015
B O I
1 2 2
direct
0.500 0.500 0.500
0.000 0.000 0.500
0.000 0.000 0.000
0.000 0.500 0.000
0.500 0.000 0.000

---

No. 4
TaP2S2 (PBE-GGA, relaxed); crystal system = tetragonal; energy relative to the elements, uncorrected = 0.27 eV per atom; DFT total energy = -5.920 eV per atom; DOS at the Fermi energy = 0.810 states/eV per atom; excess energy over the best structure of this formula in the dataset = 0.0000 eV/atom
1.0
-2.746 0.664 5.810
4.004 -4.465 2.402
2.790 3.025 0.973
S P Ta
4 4 2
direct
0.719 0.219 0.500
0.781 0.719 0.500
0.219 0.281 0.500
0.281 0.781 0.500
0.629 0.129 0.000
0.129 0.371 0.000
0.871 0.629 0.000
0.371 0.871 0.000
0.000 0.000 0.000
0.500 0.500 0.000

---

No. 5
Tb2ScGa (PBE-GGA, relaxed); crystal system = trigonal; DFT total energy = -4.511 eV per atom; DOS at the Fermi energy = 1.066 states/eV per atom; excess energy over the best structure of this formula in the dataset = 0.3986 eV/atom; DFT formation energy = 144 meV per atom
1.0
3.405 0.000 0.000
1.703 2.949 0.000
1.703 0.983 11.395
Tb Sc Ga
2 1 1
direct
0.912 0.912 0.264
0.088 0.088 0.736
0.500 0.500 0.500
0.000 0.000 0.000

---

No. 6
VAuSeN2 (PBE-GGA, relaxed); crystal system = tetragonal; energy relative to the elements, uncorrected = 0.41 eV per atom; DFT total energy = -6.100 eV per atom; DOS at the Fermi energy = 0.498 states/eV per atom; excess energy over the best structure of this formula in the dataset = 0.0000 eV/atom
1.0
3.739 0.000 0.000
0.000 3.739 0.000
0.000 0.000 5.621
N Se V Au
2 1 1 1
direct
0.500 0.000 0.000
0.000 0.500 0.000
0.000 0.000 0.500
0.000 0.000 0.000
0.500 0.500 0.500

---

No. 7
BaPmBiAu (PBE-GGA, relaxed); crystal system = cubic; DFT total energy = -4.094 eV per atom; DOS at the Fermi energy = 0.999 states/eV per atom; DFT formation energy = -636 meV per atom
1.0
-1.087 5.479 -0.954
-3.083 2.966 3.717
2.469 3.976 3.195
Bi Pm Au Ba
1 1 1 1
direct
0.000 0.000 0.000
0.750 0.750 0.750
0.500 0.500 0.500
0.250 0.250 0.250

---

No. 8
Pm2DySn6 (PBE-GGA, relaxed); crystal system = monoclinic; DFT total energy = -4.712 eV per atom; DOS at the Fermi energy = 0.597 states/eV per atom; DFT formation energy = -476 meV per atom
1.0
-1.981 3.790 1.360
-4.284 -2.476 8.078
1.909 0.332 9.272
Sn Dy Pm
6 1 2
direct
0.511 0.713 0.265
0.511 0.265 0.713
0.697 0.015 0.592
0.315 0.974 0.398
0.697 0.592 0.015
0.315 0.398 0.974
0.945 0.055 0.055
0.890 0.610 0.610
0.120 0.380 0.380

---

No. 9
MnW3Cl (PBE-GGA, relaxed); crystal system = cubic; energy relative to the elements, uncorrected = 1.80 eV per atom; DFT total energy = -8.174 eV per atom; DOS at the Fermi energy = 1.260 states/eV per atom; excess energy over the best structure of this formula in the dataset = 0.0000 eV/atom
1.0
4.350 0.000 0.000
0.000 4.350 0.000
0.000 0.000 4.350
W Cl Mn
3 1 1
direct
0.000 0.500 0.000
0.000 0.000 0.500
0.500 0.000 0.000
0.000 0.000 0.000
0.500 0.500 0.500

---

No. 10
ThScCd4 (PBE-GGA, relaxed); crystal system = orthorhombic; DFT total energy = -3.088 eV per atom; DOS at the Fermi energy = 0.787 states/eV per atom; excess energy over the best structure of this formula in the dataset = 0.0146 eV/atom; DFT formation energy = -186 meV per atom
1.0
4.983 -0.001 0.001
0.002 6.308 2.287
-0.001 0.200 9.292
Th Sc Cd
2 2 8
direct
0.750 0.620 0.260
0.250 0.380 0.740
0.250 0.869 0.762
0.750 0.131 0.238
0.750 0.546 0.917
0.250 0.454 0.083
0.750 0.725 0.584
0.250 0.810 0.416
0.250 0.963 0.083
0.250 0.275 0.416
0.750 0.037 0.917
0.750 0.190 0.584

---

No. 11
NbSiB3 (PBE-GGA, relaxed); crystal system = cubic; energy relative to the elements, uncorrected = 1.29 eV per atom; DFT total energy = -5.813 eV per atom; DOS at the Fermi energy = 0.725 states/eV per atom; excess energy over the best structure of this formula in the dataset = 0.0000 eV/atom
1.0
-0.693 -2.461 2.892
0.077 -2.948 -2.490
3.797 -0.390 0.578
Nb B Si
1 3 1
direct
0.500 0.500 0.500
0.000 0.500 0.000
0.500 0.000 0.000
0.000 0.000 0.500
0.000 0.000 0.000

---

No. 12
NaLiCd2W (PBE-GGA, relaxed); crystal system = tetragonal; DFT total energy = -2.589 eV per atom; DOS at the Fermi energy = 0.652 states/eV per atom; DFT formation energy = 1014 meV per atom
1.0
-0.312 -5.253 -1.407
4.973 0.101 -1.480
1.526 -1.437 5.028
Li Cd W Na
1 2 1 1
direct
0.000 0.500 0.000
0.500 0.000 0.000
0.000 0.000 0.500
0.000 0.000 0.000
0.500 0.500 0.500

---

Which value of DFT total energy does entry 8 give? -4.712 eV per atom